[1]
# AcLa3PrEr

A geometry-optimized AcLa3PrEr structure (PBE, the Alexandria database).

The value obtained for the spin magnetization is 0.00 μB per atom. The calculation puts the formation energy at 15.61 kJ/mol of atoms.

The space group is C2/m (No. 12) and the conventional cell measures 21.1616, 5.9923 and 7.1220 Å, with angles of 90.00, 91.42 and 90.00 degrees. Symmetry generates all atoms from Ac at (0.1490, 0.0000, 0.0319), La at (0.0149, 0.0000, 0.7470), La at (0.1598, 0.5000, 0.7469), La at (0.2186, 0.5000, 0.2828), Pr at (0.0571, 0.5000, 0.2817) and Er at (0.1411, 0.0000, 0.4922).

***

[2]
# PmZnGa2

A geometry-optimized PmZnGa2 structure (PBE, the Alexandria database).

The value obtained for the spin magnetization is 0.00 μB per atom. Its energy above the most stable polymorph in this dataset is 0.92 eV per formula unit. The calculation puts the formation energy at -29.45 kJ/mol of atoms.

The space group is Cmmm (No. 65) and the conventional cell measures 5.5111, 9.0526 and 3.4927 Å, with angles of 90.00, 90.00 and 90.00 degrees. Symmetry generates all atoms from Pm at (0.0000, 0.0000, 0.0000), Zn at (0.0000, 0.5000, 0.5000) and Ga at (0.2500, 0.2500, 0.5000).

***

[3]
# Na2Tl9Ga

A geometry-optimized Na2Tl9Ga structure (PBE, the Alexandria database).

The value obtained for the spin magnetization is 0.00 μB per atom. The calculation puts the formation energy at -2.53 kJ/mol of atoms.

The space group is P-1 (No. 2) and the conventional cell measures 5.3247, 8.3237 and 9.3068 Å, with angles of 116.04, 105.90 and 91.46 degrees. Symmetry generates all atoms from Na at (0.1588, 0.1537, 0.3119), Tl at (0.0012, 0.7106, 0.9971), Tl at (0.1930, 0.6926, 0.3777), Tl at (0.3392, 0.1172, 0.6920), Tl at (0.3434, 0.5710, 0.6870), Tl at (0.5000, 0.0000, 0.0000) and Ga at (0.5000, 0.5000, 0.0000).

***

[4]
# TbThRhBr

A geometry-optimized TbThRhBr structure (PBE, the Alexandria database).

The value obtained for the spin magnetization is 0.00 μB per atom. The total energy is -6.27 eV per atom.

The space group is R3m (No. 160, hexagonal axes) and the conventional cell measures 4.1087, 4.1087 and 23.7065 Å, with angles of 90.00, 90.00 and 120.00 degrees. Symmetry generates all atoms from Tb at (0.0000, 0.0000, 0.0000), Th at (0.0000, 0.0000, 0.2089), Rh at (0.0000, 0.0000, 0.6019) and Br at (0.0000, 0.0000, 0.7706).

***

[5]
# LiPr2Nd2Au4

A geometry-optimized LiPr2Nd2Au4 structure (PBE, the Alexandria database).

The value obtained for the spin magnetization is 0.00 μB per atom. The calculation puts the formation energy at -48.92 kJ/mol of atoms.

The space group is I4/mmm (No. 139) and the conventional cell measures 7.2103, 7.2103 and 8.6128 Å, with angles of 90.00, 90.00 and 90.00 degrees. Symmetry generates all atoms from Li at (0.0000, 0.0000, 0.0000), Pr at (0.0000, 0.5000, 0.2500), Nd at (0.0000, 0.0000, 0.3134) and Au at (0.2427, 0.2427, 0.0000).

***

[6]
# ErSi2Os4

A geometry-optimized ErSi2Os4 structure (PBE, the Alexandria database).

The value obtained for the spin magnetization is 0.00 μB per atom. The total energy is -9.11 eV per atom.

The space group is Cmmm (No. 65) and the conventional cell measures 3.9814, 14.0155 and 3.9643 Å, with angles of 90.00, 90.00 and 90.00 degrees. Symmetry generates all atoms from Er at (0.0000, 0.0000, 0.0000), Si at (0.0000, 0.4165, 0.5000), Os at (0.0000, 0.1856, 0.5000) and Os at (0.0000, 0.3115, 0.0000).

***

[7]
# Th2Zr3Sc8

A geometry-optimized Th2Zr3Sc8 structure (PBE, the Alexandria database).

The value obtained for the spin magnetization is 0.00 μB per atom. The calculation puts the formation energy at 13.77 kJ/mol of atoms.

The space group is P2/m (No. 10) and the conventional cell measures 7.0614, 4.5151 and 10.6844 Å, with angles of 90.00, 93.28 and 90.00 degrees. Symmetry generates all atoms from Th at (0.2415, 0.0000, 0.0587), Zr at (0.2096, 0.5000, 0.5624), Zr at (0.5000, 0.0000, 0.5000), Sc at (0.0557, 0.5000, 0.8479), Sc at (0.0868, 0.0000, 0.3608), Sc at (0.3284, 0.0000, 0.7564) and Sc at (0.3771, 0.5000, 0.2930).

***

[8]
# NaLaTl2Ni

A geometry-optimized NaLaTl2Ni structure (PBE, the Alexandria database).

The value obtained for the spin magnetization is 0.00 μB per atom. The calculation puts the formation energy at -12.88 kJ/mol of atoms.

The space group is P4/mmm (No. 123) and the conventional cell measures 5.3026, 5.3026 and 5.0206 Å, with angles of 90.00, 90.00 and 90.00 degrees. Symmetry generates all atoms from Na at (0.0000, 0.0000, 0.0000), La at (0.5000, 0.5000, 0.0000), Tl at (0.0000, 0.5000, 0.5000) and Ni at (0.5000, 0.5000, 0.5000).